## ScOs2Ru (PBE-GGA)

Data for a geometry-optimized ScOs2Ru structure.

a b c (Å): 5.237 5.237 4.844
angles (deg): 64.07 64.07 31.10
Fractional positions:
Os  0.015  0.015  0.909
Os  0.752  0.752  0.841
Ru  0.485  0.485  0.430
Sc  0.248  0.248  0.321

Properties
**Volume**: 15.29 A^3/atom
**Relative energy among the computed polymorphs**: 0.000 eV/atom
**DOS(E_F)**: 3.72 states/eV per cell
**Electronic total energy**: -38.42 eV per cell

## ScOs2Ru (PBE-GGA)

Data for a geometry-optimized ScOs2Ru structure.

a b c (Å): 4.988 4.988 4.627
angles (deg): 78.84 78.84 33.08
Fractional positions:
Os  0.017  0.017  0.986
Os  0.483  0.483  0.514
Ru  0.750  0.750  0.750
Sc  0.250  0.250  0.250

Properties
**Volume**: 15.38 A^3/atom
**Relative energy among the computed polymorphs**: 0.070 eV/atom
**DOS(E_F)**: 3.92 states/eV per cell
**Electronic total energy**: -38.15 eV per cell

For the records above, the corresponding ΔH_f (0 K) values read -0.09, -0.02 eV per atom.